No. 1
DFT (GGA-PBE) results for a geometry-optimized ErTmNi2As2 structure.

Values from the calculation:
- Offset from the most stable computed form: 0 meV/atom
- Space-group type: P6_3/mmc

Cell: 4.0392 4.0392 15.0619 Å, 90.00 90.00 120.00°
Positions (direct):
Er 0.0000 0.0000 0.0000
Er 0.0000 0.0000 0.5000
Tm 0.0000 0.0000 0.2500
Tm 0.0000 0.0000 0.7500
Ni 0.3333 0.6667 0.1351
Ni 0.3333 0.6667 0.3649
Ni 0.6667 0.3333 0.6351
Ni 0.6667 0.3333 0.8649
As 0.3333 0.6667 0.6202
As 0.3333 0.6667 0.8798
As 0.6667 0.3333 0.1202
As 0.6667 0.3333 0.3798

***

No. 2
DFT (GGA-PBE) results for a geometry-optimized YErNi2As2 structure.

Values from the calculation:
- Offset from the most stable computed form: 0 meV/atom
- Space-group type: P6_3/mmc

Cell: 4.0594 4.0594 15.2604 Å, 90.00 90.00 120.00°
Positions (direct):
Y 0.0000 0.0000 0.0000
Y 0.0000 0.0000 0.5000
Er 0.0000 0.0000 0.2500
Er 0.0000 0.0000 0.7500
Ni 0.3333 0.6667 0.1367
Ni 0.3333 0.6667 0.3633
Ni 0.6667 0.3333 0.6367
Ni 0.6667 0.3333 0.8633
As 0.3333 0.6667 0.6215
As 0.3333 0.6667 0.8785
As 0.6667 0.3333 0.1215
As 0.6667 0.3333 0.3785

***

No. 3
DFT (GGA-PBE) results for a geometry-optimized Er5Zr3Ni16As12 structure.

Values from the calculation:
- Electronic total energy: -6.21 eV/atom
- Space-group type: P-62m

Cell: 12.7361 12.7361 3.8965 Å, 90.00 90.00 120.00°
Positions (direct):
Er 0.0000 0.8166 0.0000
Er 0.1834 0.1834 0.0000
Er 0.3333 0.6667 0.5000
Er 0.6667 0.3333 0.5000
Er 0.8166 0.0000 0.0000
Zr 0.0000 0.4374 0.5000
Zr 0.4374 0.0000 0.5000
Zr 0.5626 0.5626 0.5000
Ni 0.0000 0.0000 0.5000
Ni 0.0000 0.2761 0.0000
Ni 0.1214 0.6389 0.0000
Ni 0.1833 0.3760 0.5000
Ni 0.1927 0.8167 0.5000
Ni 0.2761 0.0000 0.0000
Ni 0.3611 0.4825 0.0000
Ni 0.3760 0.1833 0.5000
Ni 0.4825 0.3611 0.0000
Ni 0.5175 0.8786 0.0000
Ni 0.6240 0.8073 0.5000
Ni 0.6389 0.1214 0.0000
Ni 0.7239 0.7239 0.0000
Ni 0.8073 0.6240 0.5000
Ni 0.8167 0.1927 0.5000
Ni 0.8786 0.5175 0.0000
As 0.0000 0.1777 0.5000
As 0.0000 0.6457 0.5000
As 0.1728 0.4802 0.0000
As 0.1777 0.0000 0.5000
As 0.3074 0.8272 0.0000
As 0.3543 0.3543 0.5000
As 0.4802 0.1728 0.0000
As 0.5198 0.6926 0.0000
As 0.6457 0.0000 0.5000
As 0.6926 0.5198 0.0000
As 0.8223 0.8223 0.5000
As 0.8272 0.3074 0.0000

***

No. 4
DFT (GGA-PBE) results for a geometry-optimized ErAsO4 structure.

Values from the calculation:
- Electronic total energy: -7.23 eV/atom
- Space-group type: I4_1/amd

Cell: 5.8769 5.8769 5.8769 Å, 106.70 106.70 115.16°
Positions (direct):
Er 0.3750 0.6250 0.7500
Er 0.6250 0.3750 0.2500
As 0.1250 0.8750 0.2500
As 0.8750 0.1250 0.7500
O 0.1304 0.6965 0.4338
O 0.2373 0.3035 0.9338
O 0.3035 0.2373 0.4338
O 0.3035 0.8696 0.0662
O 0.6965 0.1304 0.9338
O 0.6965 0.7627 0.5662
O 0.7627 0.6965 0.0662
O 0.8696 0.3035 0.5662

***

No. 5
DFT (GGA-PBE) results for a geometry-optimized ErAsOsO structure.

Values from the calculation:
- Offset from the most stable computed form: 0 meV/atom
- Space-group type: P4/nmm

Cell: 4.0422 4.0422 7.9151 Å, 90.00 90.00 90.00°
Positions (direct):
Er 0.2500 0.2500 0.1280
Er 0.7500 0.7500 0.8720
As 0.2500 0.2500 0.6757
As 0.7500 0.7500 0.3243
Os 0.2500 0.7500 0.5000
Os 0.7500 0.2500 0.5000
O 0.2500 0.7500 0.0000
O 0.7500 0.2500 0.0000

***

No. 6
DFT (GGA-PBE) results for a geometry-optimized ErAsOsO structure.

Values from the calculation:
- Offset from the most stable computed form: 619 meV/atom
- Space-group type: Pmc2_1

Cell: 4.1849 4.2226 7.2528 Å, 90.00 90.00 90.00°
Positions (direct):
Er 0.0000 0.2471 0.0000
Er 0.0000 0.7529 0.5000
As 0.5000 0.2418 0.6696
As 0.5000 0.7582 0.1696
Os 0.5000 0.2493 0.3378
Os 0.5000 0.7507 0.8378
O 0.0000 0.3109 0.3171
O 0.0000 0.6891 0.8171

***

No. 7
DFT (GGA-PBE) results for a geometry-optimized ErAsOsO structure.

Values from the calculation:
- Offset from the most stable computed form: 1783 meV/atom
- Space-group type: P4/nmm

Cell: 4.2916 4.2916 6.7289 Å, 90.00 90.00 90.00°
Positions (direct):
Er 0.2500 0.7500 0.0000
Er 0.7500 0.2500 0.0000
As 0.2500 0.2500 0.2836
As 0.7500 0.7500 0.7164
Os 0.2500 0.2500 0.6500
Os 0.7500 0.7500 0.3500
O 0.2500 0.7500 0.5000
O 0.7500 0.2500 0.5000

***

No. 8
DFT (GGA-PBE) results for a geometry-optimized ErAsOsO structure.

Values from the calculation:
- Offset from the most stable computed form: 636 meV/atom
- Space-group type: Pmc2_1

Cell: 4.0914 6.0027 5.7185 Å, 90.00 90.00 90.00°
Positions (direct):
Er 0.0000 0.1857 0.0000
Er 0.0000 0.8143 0.5000
As 0.0000 0.3135 0.4757
As 0.0000 0.6865 0.9757
Os 0.5000 0.4931 0.1919
Os 0.5000 0.5069 0.6919
O 0.5000 0.2415 0.9239
O 0.5000 0.7585 0.4239

***

No. 9
DFT (GGA-PBE) results for a geometry-optimized ErAsPO structure.

Values from the calculation:
- Offset from the most stable computed form: 0 meV/atom
- Space-group type: P4/nmm

Cell: 4.2705 4.2705 7.6914 Å, 90.00 90.00 90.00°
Positions (direct):
Er 0.2500 0.2500 0.1071
Er 0.7500 0.7500 0.8929
As 0.2500 0.7500 0.5000
As 0.7500 0.2500 0.5000
P 0.2500 0.2500 0.6677
P 0.7500 0.7500 0.3323
O 0.2500 0.7500 0.0000
O 0.7500 0.2500 0.0000

***

No. 10
DFT (GGA-PBE) results for a geometry-optimized ErAsPO structure.

Values from the calculation:
- Offset from the most stable computed form: 46 meV/atom
- Space-group type: Pmc2_1

Cell: 3.4403 6.8903 6.5510 Å, 90.00 90.00 90.00°
Positions (direct):
Er 0.0000 0.1969 0.0000
Er 0.0000 0.8031 0.5000
As 0.5000 0.3984 0.6376
As 0.5000 0.6016 0.1376
P 0.0000 0.3616 0.4045
P 0.0000 0.6384 0.9045
O 0.5000 0.0639 0.0951
O 0.5000 0.9361 0.5951

***

No. 11
DFT (GGA-PBE) results for a geometry-optimized ErAsPO structure.

Values from the calculation:
- Offset from the most stable computed form: 17 meV/atom
- Space-group type: Pmc2_1

Cell: 4.8835 6.7529 6.1919 Å, 90.00 90.00 90.00°
Positions (direct):
Er 0.0000 0.1718 0.0000
Er 0.0000 0.8282 0.5000
As 0.5000 0.3139 0.5724
As 0.5000 0.6861 0.0724
P 0.5000 0.3725 0.9388
P 0.5000 0.6275 0.4388
O 0.0000 0.0648 0.3031
O 0.0000 0.9352 0.8031

***

No. 12
DFT (GGA-PBE) results for a geometry-optimized ErAsPO structure.

Values from the calculation:
- Offset from the most stable computed form: 375 meV/atom
- Space-group type: P4/mmm

Cell: 3.9249 3.9249 4.6797 Å, 90.00 90.00 90.00°
Positions (direct):
Er 0.0000 0.0000 0.0000
As 0.5000 0.5000 0.5000
P 0.5000 0.5000 0.0000
O 0.0000 0.0000 0.5000